[1]
Below is a relaxed structure of Tc4RhW, with properties calculated at the GGA-PBE level.

Cell: 5.069 5.069 5.069 Å, 60.00 60.00 60.00°
Positions (direct):
Rh (0.000, 0.000, 0.000)
Tc (0.374, 0.879, 0.374)
Tc (0.374, 0.374, 0.879)
Tc (0.374, 0.374, 0.374)
Tc (0.879, 0.374, 0.374)
W (0.750, 0.750, 0.750)

Computed properties:
Crystal system: cubic
Space-group type: No. 216
DFT formation energy (eV per atom): 0.228


[2]
Below is a relaxed structure of YTcRh, with properties calculated at the GGA-PBE level.

Cell: 4.523 4.523 4.523 Å, 60.00 60.00 60.00°
Site moments in Bohr magnetons follow the coordinates.
Positions (direct):
Y (0.750, 0.750, 0.750)  0.02
Tc (0.500, 0.500, 0.500)  2.09
Rh (0.000, 0.000, 0.000)  0.34

Computed properties:
Energy above the lowest structure with this stoichiometry (meV per atom): 924
Crystal system: cubic
Space-group type: No. 216
DFT formation energy (eV per atom): 0.887


[3]
Below is a relaxed structure of YTcRh2, with properties calculated at the GGA-PBE level.

Cell: 2.952 2.952 7.750 Å, 90.00 90.00 89.99°
Positions (direct):
Rh (0.000, 0.000, 0.470)
Rh (0.000, 0.000, 0.030)
Y (0.500, 0.500, 0.750)
Tc (0.500, 0.500, 0.250)

Computed properties:
Energy above the lowest structure with this stoichiometry (meV per atom): 0
Crystal system: tetragonal
Space-group type: No. 123
DFT formation energy (eV per atom): -0.172


[4]
Below is a relaxed structure of YTcRh, with properties calculated at the GGA-PBE level.

Cell: 6.405 6.405 3.026 Å, 76.34 76.33 27.33°
Positions (direct):
Rh (0.021, 0.021, 0.979)
Tc (0.646, 0.646, 0.354)
Y (0.333, 0.333, 0.667)

Computed properties:
Energy above the lowest structure with this stoichiometry (meV per atom): 0
Crystal system: tetragonal
Space-group type: No. 107
DFT formation energy (eV per atom): -0.037


[5]
Below is a relaxed structure of YTc2Rh2, with properties calculated at the GGA-PBE level.

Cell: 7.713 7.713 2.810 Å, 90.00 90.00 90.00°
Positions (direct):
Tc (0.884, 0.616, 0.000)
Tc (0.616, 0.116, 0.000)
Tc (0.384, 0.884, 0.000)
Tc (0.116, 0.384, 0.000)
Y (0.000, 0.000, 0.000)
Y (0.500, 0.500, 0.000)
Rh (0.176, 0.676, 0.500)
Rh (0.676, 0.824, 0.500)
Rh (0.824, 0.324, 0.500)
Rh (0.324, 0.176, 0.500)

Computed properties:
Energy above the lowest structure with this stoichiometry (meV per atom): 15
Crystal system: tetragonal
Space-group type: No. 127
DFT formation energy (eV per atom): -0.086


[6]
Below is a relaxed structure of YTcRh2, with properties calculated at the GGA-PBE level.

Cell: 6.564 4.848 2.949 Å, 90.05 63.22 122.68°
Site moments in Bohr magnetons follow the coordinates.
Positions (direct):
Rh (0.500, 0.000, 0.500)  0.02
Rh (0.000, 0.000, 0.000)  0.02
Tc (0.000, 0.500, 0.500)  0.18
Y (0.500, 0.500, 0.000)  0.00

Computed properties:
Energy above the lowest structure with this stoichiometry (meV per atom): 10
Crystal system: orthorhombic
Space-group type: No. 65
DFT formation energy (eV per atom): -0.163


[7]
Below is a relaxed structure of YTcRh2, with properties calculated at the GGA-PBE level.

Cell: 4.572 4.572 4.572 Å, 60.00 60.00 60.00°
Positions (direct):
Tc (0.500, 0.500, 0.500)
Rh (0.250, 0.250, 0.250)
Rh (0.000, 0.000, 0.000)
Y (0.750, 0.750, 0.750)

Computed properties:
Energy above the lowest structure with this stoichiometry (meV per atom): 189
Crystal system: cubic
Space-group type: No. 216
DFT formation energy (eV per atom): 0.017


[8]
Below is a relaxed structure of YTc3Rh, with properties calculated at the GGA-PBE level.

Cell: 4.682 4.682 4.682 Å, 90.00 90.00 90.00°
Positions (direct):
Tc (0.000, 0.500, 0.000)
Tc (0.000, 0.000, 0.500)
Tc (0.500, 0.000, 0.000)
Rh (0.500, 0.500, 0.500)
Y (0.000, 0.000, 0.000)

Computed properties:
Energy above the lowest structure with this stoichiometry (meV per atom): 1379
Crystal system: cubic
Space-group type: No. 221
DFT formation energy (eV per atom): 2.533


[9]
Below is a relaxed structure of Y8TcRh2, with properties calculated at the GGA-PBE level.

Cell: 5.860 7.615 7.615 Å, 113.80 100.24 100.24°
Positions (direct):
Rh (0.499, 0.699, 0.318)
Rh (0.499, 0.318, 0.699)
Y (0.811, 0.645, 0.645)
Y (0.579, 0.081, 0.333)
Y (0.579, 0.333, 0.081)
Y (0.175, 0.362, 0.362)
Y (0.990, 0.783, 0.211)
Y (0.990, 0.211, 0.783)
Y (0.388, 0.672, 0.925)
Y (0.388, 0.925, 0.672)
Tc (0.101, 0.004, 0.004)

Computed properties:
Crystal system: monoclinic
Space-group type: No. 8
DFT formation energy (eV per atom): -0.275


[10]
Below is a relaxed structure of YTcRh2, with properties calculated at the GGA-PBE level.

Cell: 4.635 4.635 4.635 Å, 60.00 60.00 60.00°
Site moments in Bohr magnetons follow the coordinates.
Positions (direct):
Rh (0.250, 0.250, 0.250)  0.70
Rh (0.750, 0.750, 0.750)  0.70
Tc (0.500, 0.500, 0.500)  2.29
Y (0.000, 0.000, 0.000)  -0.03

Computed properties:
Energy above the lowest structure with this stoichiometry (meV per atom): 79
Crystal system: cubic
Space-group type: No. 225
DFT formation energy (eV per atom): -0.094


[11]
Below is a relaxed structure of YTcRh2, with properties calculated at the GGA-PBE level.

Cell: 5.057 5.057 5.057 Å, 133.08 133.08 68.53°
Site moments in Bohr magnetons follow the coordinates.
Positions (direct):
Rh (0.000, 0.000, 0.000)  0.06
Rh (0.250, 0.750, 0.500)  0.00
Tc (0.500, 0.500, 0.000)  0.54
Y (0.750, 0.250, 0.500)  0.00

Computed properties:
Energy above the lowest structure with this stoichiometry (meV per atom): 102
Crystal system: tetragonal
Space-group type: No. 119
DFT formation energy (eV per atom): -0.071


[12]
Below is a relaxed structure of YTcRh2, with properties calculated at the GGA-PBE level.

Cell: 3.808 2.921 6.811 Å, 64.35 90.00 90.00°
Positions (direct):
Y (0.500, 0.750, 0.750)
Rh (0.000, 0.536, 0.464)
Rh (0.000, 0.964, 0.036)
Tc (0.500, 0.250, 0.250)

Computed properties:
Energy above the lowest structure with this stoichiometry (meV per atom): 6
Crystal system: monoclinic
Space-group type: No. 10
DFT formation energy (eV per atom): -0.166


Theoretical density across the listed records, respectively: 12240 7355 9657 8703 9748 9769 9650 7862 5734 9264 9624 9549 kg/m3.